(1)
A geometry-optimized CaTaIr2 structure. Source: the Alexandria database, functional PBE.

Values from the calculation:
E_form	-0.04	eV per atom
offset from the most stable computed form	442	meV per atom
electronic total energy	-7.933	eV per atom

Cell lengths 2.9028, 4.5795, 5.4410 Å; angles 90.00, 90.00, 90.00 degrees
Space group Pmm2 (No. 25)
Unique sites:
1 Ca 0.0000 0.0000 0.0000 x1
2 Ta 0.5000 0.5000 0.6560 x1
3 Ir 0.0000 0.0000 0.5023 x1
4 Ir 0.5000 0.5000 0.1315 x1

***

(2)
A geometry-optimized Na2Hg3I8 structure. Source: the Alexandria database, functional PBE.

Values from the calculation:
electronic total energy	-1.773	eV per atom
ΔE_f (raw)	-0.547	eV per atom

Cell lengths 19.6755, 8.3223, 17.0656 Å; angles 90.00, 100.18, 90.00 degrees
Space group C2/c (No. 15)
Unique sites:
1 Na 0.2390 0.1471 0.3707 x8
2 Hg 0.0000 0.0173 0.7500 x4
3 Hg 0.2002 0.0683 0.1251 x8
4 I 0.0903 0.0035 0.3848 x8
5 I 0.1107 0.1901 0.6309 x8
6 I 0.1786 0.3445 0.2054 x8
7 I 0.1948 0.4926 0.4562 x8